Material: Rb3LaTb2Se6
Method: DFT, PBE
State: relaxed

The structure in POSCAR format:
```
Rb3LaTb2Se6
1.0
-4.862 4.968 -2.813
-1.947 -7.215 0.620
-0.558 2.146 8.088
Rb La Tb Se
3 1 2 6
direct
0.165 0.835 0.500 Rb
0.835 0.165 0.500 Rb
0.500 0.500 0.500 Rb
0.000 0.000 0.000 La
0.333 0.667 0.000 Tb
0.667 0.333 0.000 Tb
0.934 0.590 0.802 Se
0.722 0.722 0.198 Se
0.066 0.410 0.198 Se
0.590 0.934 0.802 Se
0.278 0.278 0.802 Se
0.410 0.066 0.198 Se
```

Values from the calculation:
E_form (uncorrected) = -1.764 eV per atom
Space-group type = C2/m (12)
D(E_F) = 0.000 states/eV/atom

---

Material: Rb3La3TbSe8
Method: DFT, PBE
State: relaxed

The structure in POSCAR format:
```
Rb3La3TbSe8
1.0
8.809 0.000 0.000
-4.404 7.634 -0.033
0.000 -5.062 8.111
Rb La Tb Se
3 3 1 8
direct
0.000 0.000 0.000 Rb
0.000 0.500 0.000 Rb
0.500 0.500 0.000 Rb
0.500 0.000 0.500 La
0.500 0.500 0.500 La
0.000 0.500 0.500 La
0.000 0.000 0.500 Tb
0.266 0.532 0.298 Se
0.734 0.468 0.702 Se
0.775 0.550 0.307 Se
0.225 0.450 0.693 Se
0.775 0.032 0.307 Se
0.225 0.968 0.693 Se
0.257 0.032 0.307 Se
0.743 0.968 0.693 Se
```

Values from the calculation:
E_form (uncorrected) = -1.709 eV per atom
Space-group type = C2/m (12)
D(E_F) = 1.026 states/eV/atom

---

Material: RbLaTeSe
Method: DFT, PBE
State: relaxed

The structure in POSCAR format:
```
RbLaTeSe
1.0
4.567 -0.001 0.000
-2.283 3.955 0.000
-2.282 -1.319 8.483
Rb La Te Se
1 1 1 1
direct
0.971 0.384 0.370 Rb
0.293 0.545 0.853 La
0.108 0.952 0.075 Te
0.505 0.150 0.671 Se
```

Values from the calculation:
E_form (uncorrected) = -1.617 eV per atom
Space-group type = R3m (160)
D(E_F) = 0.000 states/eV/atom

---

Material: Rb4LaTh3Se8
Method: DFT, PBE
State: relaxed

The structure in POSCAR format:
```
Rb4LaTh3Se8
1.0
-5.670 -1.617 6.315
0.707 -9.350 -1.759
7.331 4.219 1.753
Rb La Th Se
4 1 3 8
direct
0.500 0.000 0.000 Rb
0.500 0.000 0.500 Rb
0.000 0.000 0.000 Rb
0.000 0.000 0.500 Rb
0.000 0.500 0.000 La
0.500 0.500 0.000 Th
0.500 0.500 0.500 Th
0.000 0.500 0.500 Th
0.239 0.706 0.967 Se
0.239 0.706 0.479 Se
0.265 0.295 0.530 Se
0.728 0.706 0.967 Se
0.272 0.294 0.033 Se
0.735 0.705 0.470 Se
0.761 0.294 0.521 Se
0.761 0.294 0.033 Se
```

Values from the calculation:
E_form (uncorrected) = -1.587 eV per atom
Space-group type = R-3m (166)
D(E_F) = 0.695 states/eV/atom

---

Material: Rb3La3TiSe8
Method: DFT, PBE
State: relaxed

The structure in POSCAR format:
```
Rb3La3TiSe8
1.0
8.589 0.000 0.000
-4.295 7.442 -0.031
0.000 -4.930 8.173
Rb La Ti Se
3 3 1 8
direct
0.000 0.000 0.000 Rb
0.000 0.500 0.000 Rb
0.500 0.500 0.000 Rb
0.500 0.000 0.500 La
0.500 0.500 0.500 La
0.000 0.500 0.500 La
0.000 0.000 0.500 Ti
0.265 0.530 0.295 Se
0.735 0.470 0.705 Se
0.791 0.583 0.316 Se
0.209 0.417 0.684 Se
0.791 0.025 0.316 Se
0.209 0.975 0.684 Se
0.234 0.025 0.316 Se
0.766 0.975 0.684 Se
```

Values from the calculation:
E_form (uncorrected) = -1.624 eV per atom
Space-group type = R-3m (166)

---

Material: RbLaTiSe4
Method: DFT, PBE
State: relaxed

The structure in POSCAR format:
```
RbLaTiSe4
1.0
-2.045 -4.037 -5.491
-1.843 -5.144 4.468
-7.533 5.158 2.832
Rb La Ti Se
2 2 2 8
direct
0.727 0.750 0.936 Rb
0.273 0.250 0.064 Rb
0.775 0.750 0.451 La
0.225 0.250 0.549 La
0.220 0.750 0.323 Ti
0.780 0.250 0.677 Ti
0.010 0.508 0.714 Se
0.990 0.008 0.286 Se
0.990 0.492 0.286 Se
0.010 0.992 0.714 Se
0.426 0.750 0.169 Se
0.574 0.250 0.831 Se
0.419 0.750 0.572 Se
0.581 0.250 0.428 Se
```

Values from the calculation:
E_form (uncorrected) = -1.516 eV per atom
Space-group type = P2_1/m (11)
D(E_F) = 0.000 states/eV/atom

---

Q: The lowest E_form (uncorrected) belongs to which entry?
A: Rb3LaTb2Se6